--- P ---
A relaxed ZrSc2Ti2 crystal, computed with PBE.

a b c (Å): 8.1447 8.1447 3.1761
angles (deg): 90.00 90.00 90.00
Fractional positions:
Zr (0.0000, 0.0000, 0.0000)
Zr (0.5000, 0.5000, 0.0000)
Sc (0.1274, 0.3726, 0.0000)
Sc (0.3726, 0.8726, 0.0000)
Sc (0.6274, 0.1274, 0.0000)
Sc (0.8726, 0.6274, 0.0000)
Ti (0.1723, 0.6723, 0.5000)
Ti (0.3277, 0.1723, 0.5000)
Ti (0.6723, 0.8277, 0.5000)
Ti (0.8277, 0.3277, 0.5000)

Properties
Its space group is P4/mbm (127). The value obtained for the magnetization is 0.001 μB/f.u.

---

--- Q ---
A relaxed ZrSc2Ti2 crystal, computed with PBE.

a b c (Å): 8.0506 8.0506 3.2593
angles (deg): 90.00 90.00 90.00
Fractional positions:
Zr (0.0000, 0.0000, 0.0000)
Zr (0.5000, 0.5000, 0.0000)
Sc (0.1748, 0.3252, 0.5000)
Sc (0.3252, 0.8252, 0.5000)
Sc (0.6748, 0.1748, 0.5000)
Sc (0.8252, 0.6748, 0.5000)
Ti (0.1198, 0.6198, 0.0000)
Ti (0.3802, 0.1198, 0.0000)
Ti (0.6198, 0.8802, 0.0000)
Ti (0.8802, 0.3802, 0.0000)

Properties
Its space group is P4/mbm (127). The value obtained for the magnetization is 0.000 μB/f.u.

---

Which of them is most stable, and which least? Most stable: Q; least stable: P.

---

--- P ---
A relaxed ZrScTi2 crystal, computed with PBE.

a b c (Å): 9.9577 9.9577 9.9577
angles (deg): 17.94 17.94 17.94
Fractional positions:
Zr (0.0000, 0.0000, 0.0000)
Sc (0.1661, 0.1661, 0.1661)
Ti (0.4155, 0.4155, 0.4155)
Ti (0.5837, 0.5837, 0.5837)

Properties
Its space group is R3m (160). The value obtained for the magnetization is 0.000 μB/f.u.

---

--- Q ---
A relaxed ZrScTi2 crystal, computed with PBE.

a b c (Å): 4.8482 4.8482 4.8482
angles (deg): 60.00 60.00 60.00
Fractional positions:
Zr (0.0000, 0.0000, 0.0000)
Sc (0.5000, 0.5000, 0.5000)
Ti (0.2500, 0.2500, 0.2500)
Ti (0.7500, 0.7500, 0.7500)

Properties
Its space group is Fm-3m (225). The value obtained for the magnetization is 0.000 μB/f.u.

---

--- R ---
A relaxed ZrScTi2 crystal, computed with PBE.

a b c (Å): 3.5738 3.5738 6.3831
angles (deg): 90.00 90.00 90.00
Fractional positions:
Zr (0.0000, 0.0000, 0.0000)
Sc (0.0000, 0.0000, 0.5000)
Ti (0.5000, 0.5000, 0.2219)
Ti (0.5000, 0.5000, 0.7781)

Properties
Its space group is P4/mmm (123). The value obtained for the magnetization is 0.000 μB/f.u.

---

--- S ---
A relaxed ZrScTi2 crystal, computed with PBE.

a b c (Å): 6.0477 6.0477 6.0477
angles (deg): 103.80 103.80 121.53
Fractional positions:
Zr (0.0000, 0.0000, 0.0000)
Zr (0.7500, 0.2500, 0.5000)
Sc (0.2500, 0.7500, 0.5000)
Sc (0.5000, 0.5000, 0.0000)
Ti (0.1269, 0.6250, 0.0019)
Ti (0.3750, 0.3769, 0.5019)
Ti (0.6231, 0.1250, 0.9981)
Ti (0.8750, 0.8731, 0.4981)

Properties
Its space group is I-42d (122). The value obtained for the magnetization is 1.051 μB/f.u.

---

Which of them is most stable, and which least? Most stable: P; least stable: S.